A plane-wave DFT calculation with PBE-GGA was carried out for a relaxed Rb2PrZn2Se4 crystal.

POSCAR file:
```
Rb2PrZn2Se4
1.0
8.074 -2.190 0.000
8.074 2.190 0.000
-2.815 0.000 7.720
Rb Pr Zn Se
2 1 2 4
direct
0.131 0.131 0.057
0.869 0.869 0.943
0.000 0.000 0.500
0.324 0.324 0.510
0.676 0.676 0.490
0.202 0.202 0.666
0.475 0.475 0.733
0.525 0.525 0.267
0.798 0.798 0.334
```

- raw formation energy (meV per atom) = -1092
- spin magnetization (μB per formula unit) = 0.01
- total DFT energy (no corrections) (eV/atom) = -3.670
- space group = C2/m, No. 12